# BeAlW | Alexandria via LeMat-Bulk | SCAN | PBEsol geometry
data_BeAlW
_symmetry_space_group_name_H-M 'P 3 m 1'
_symmetry_Int_Tables_number 156
_cell_length_a 2.7610
_cell_length_b 2.7610
_cell_length_c 6.2752
_cell_angle_alpha 90.00
_cell_angle_beta 90.00
_cell_angle_gamma 120.00
loop_
_symmetry_equiv_pos_as_xyz
'x,y,z'
'-y,x-y,z'
'-x+y,-x,z'
'-y,-x,z'
'-x+y,y,z'
'x,x-y,z'
loop_
_atom_site_label
_atom_site_fract_x
_atom_site_fract_y
_atom_site_fract_z
Be1 0.0000 0.0000 0.0000
Al1 0.6667 0.3333 0.3218
W1 0.3333 0.6667 0.6821
# Crystal system ... trigonal
# Total magnetization ... 0.00 μB/cell
# Energy ... -27.018 eV per atom
# ΔE_f ... 0.246 eV per atom